1.
A plane-wave DFT calculation with GGA-PBE was carried out for crystalline AcPmMgSc at its relaxed geometry.

Structure (POSCAR):
```
AcPmMgSc
1.0
0.000 3.985 3.985
3.985 0.000 3.985
3.985 3.985 0.000
Ac Pm Mg Sc
1 1 1 1
Cartesian
0.000 0.000 0.000
3.985 3.985 3.985
5.978 5.978 5.978
1.993 1.993 1.993
```

Values from the calculation:
M_tot = 0.0 μB per formula unit
ΔE_f = 0.18 eV per formula unit
total DFT energy (no corrections) = -4.15 eV per atom

2.
A plane-wave DFT calculation with GGA-PBE was carried out for crystalline As2WCl at its relaxed geometry.

Structure (POSCAR):
```
As2WCl
1.0
0.000 3.269 3.269
3.269 0.000 3.269
3.269 3.269 0.000
As W Cl
2 1 1
Cartesian
1.634 1.634 1.634
4.903 4.903 4.903
0.000 0.000 0.000
3.269 3.269 3.269
```

Values from the calculation:
M_tot = 0.0 μB per formula unit
ΔE_f (raw) = 0.84 eV/atom
total DFT energy (no corrections) = -5.19 eV per atom

3.
A plane-wave DFT calculation with GGA-PBE was carried out for crystalline LiNiBr at its relaxed geometry.

Structure (POSCAR):
```
LiNiBr
1.0
0.000 2.929 2.929
2.929 0.000 2.929
2.929 2.929 0.000
Li Ni Br
1 1 1
Cartesian
0.000 0.000 0.000
1.464 1.464 1.464
4.393 4.393 4.393
```

Values from the calculation:
M_tot = 0.4 μB per formula unit
ΔE_f (raw) = 0.16 eV/atom
total DFT energy (no corrections) = -2.96 eV per atom

4.
A plane-wave DFT calculation with GGA-PBE was carried out for crystalline Tc2Ni at its relaxed geometry.

Structure (POSCAR):
```
Tc2Ni
1.0
2.696 0.000 0.000
-1.348 2.335 0.000
0.000 0.000 6.473
Tc Ni
2 1
Cartesian
0.000 1.556 2.154
1.348 0.778 4.319
0.000 0.000 0.000
```

Values from the calculation:
M_tot = 0.0 μB per formula unit
ΔE_f = 0.26 eV per formula unit
total DFT energy (no corrections) = -8.75 eV per atom

5.
A plane-wave DFT calculation with GGA-PBE was carried out for crystalline SrY4Br at its relaxed geometry.

Structure (POSCAR):
```
SrY4Br
1.0
0.000 4.847 4.847
4.847 0.000 4.847
4.847 4.847 0.000
Sr Y Br
1 4 1
Cartesian
0.000 0.000 0.000
6.076 3.618 3.618
3.618 6.076 3.618
3.618 3.618 6.076
6.076 6.076 6.076
2.424 2.424 2.424
```

Values from the calculation:
M_tot = 1.1 μB per formula unit
ΔE_f (raw) = 0.26 eV/atom
total DFT energy (no corrections) = -4.61 eV per atom

6.
A plane-wave DFT calculation with GGA-PBE was carried out for crystalline Ta3SbW at its relaxed geometry.

Structure (POSCAR):
```
Ta3SbW
1.0
4.907 0.000 0.000
0.000 4.907 0.000
0.000 0.000 4.907
Ta Sb W
3 1 1
Cartesian
0.000 0.000 2.453
0.000 2.453 0.000
2.453 0.000 0.000
2.453 2.453 2.453
0.000 0.000 0.000
```

Values from the calculation:
M_tot = 0.0 μB per formula unit
ΔE_f (raw) = 1.35 eV/atom
total DFT energy (no corrections) = -9.17 eV per atom